VASP calculation (PBE) on a relaxed structure of RbZnIr2.

The calculated total energy is -34.87 eV per cell. The value obtained for the volume is 214 Å³ per cell. The value obtained for the size of the total moment is 0.321 μB per cell. The calculation puts the calculated formation energy at 0.632 eV per atom.

Cell: 9.6817 9.6817 9.6817 Å, 150.90 150.90 41.62°
Last column: nearest neighbours and their distance in Å.
Atoms (fractional coordinates):
1 Rb 0.3750 0.6250 0.7500  4 Zn 3.44, 8 Ir 3.54
2 Rb 0.6250 0.3750 0.2500  4 Zn 3.44, 8 Ir 3.54
3 Zn 0.1250 0.8750 0.2500  4 Ir 2.57
4 Zn 0.8750 0.1250 0.7500  4 Ir 2.57
5 Ir 0.0000 0.0000 0.0000  2 Ir 2.43, 2 Zn 2.57
6 Ir 0.0000 0.0000 0.5000  2 Ir 2.43, 2 Zn 2.57
7 Ir 0.0000 0.5000 0.0000  2 Ir 2.43, 2 Zn 2.57
8 Ir 0.5000 0.0000 0.5000  2 Ir 2.43, 2 Zn 2.57


VASP calculation (PBE) on a relaxed structure of Ca2SiP.

The calculated total energy is -16.77 eV per cell. For the polymorph energy (0 for the lowest one), the calculation gives 0.27 eV/f.u. The value obtained for the volume is 89 Å³ per cell. The value obtained for the size of the total moment is 0.000 μB per cell.

Cell: 4.7320 4.7320 3.9621 Å, 90.00 90.00 90.00°
Last column: nearest neighbours and their distance in Å.
Atoms (fractional coordinates):
1 Ca 0.0000 0.5000 0.0000  4 Si 3.09, 4 P 3.09, 4 Ca 3.35
2 Ca 0.5000 0.0000 0.0000  4 Si 3.09, 4 P 3.09, 4 Ca 3.35
3 Si 0.0000 0.0000 0.5000  8 Ca 3.09, 4 P 3.35
4 P 0.5000 0.5000 0.5000  8 Ca 3.09, 4 Si 3.35